# 1
DFT (SCAN) results for a crystal of RhPb2Se relaxed with PBEsol.

**Uncorrected formation energy**: -0.13 eV/f.u.

a = 3.4007 Å, b = 3.9965 Å, c = 13.7495 Å
α = 90.00°, β = 90.00°, γ = 90.00°
Positions (direct):
1 Rh 0.0000 0.0000 0.0000
2 Rh 0.5000 0.5000 0.5000
3 Pb 0.0000 0.5000 0.3318
4 Pb 0.0000 0.5000 0.6682
5 Pb 0.5000 0.0000 0.1682
6 Pb 0.5000 0.0000 0.8318
7 Se 0.0000 0.0000 0.5000
8 Se 0.5000 0.5000 0.0000

# 2
DFT (SCAN) results for a crystal of CaSc2P relaxed with PBEsol.

**Formation energy from the elements**: -0.59 eV/atom

a = 4.1070 Å, b = 3.9423 Å, c = 11.5413 Å
α = 90.00°, β = 90.00°, γ = 90.00°
Positions (direct):
1 Ca 0.0000 0.0000 0.0000
2 Ca 0.0000 0.5000 0.5000
3 Sc 0.0000 0.0000 0.7189
4 Sc 0.0000 0.5000 0.2189
5 Sc 0.5000 0.0000 0.2837
6 Sc 0.5000 0.5000 0.7837
7 P 0.5000 0.0000 0.5925
8 P 0.5000 0.5000 0.0925

# 3
DFT (SCAN) results for a crystal of PrAlCu relaxed with PBEsol.

**Formation energy from the elements**: -0.41 eV/atom

a = 7.1424 Å, b = 7.1424 Å, c = 4.2592 Å
α = 90.00°, β = 90.00°, γ = 120.00°
Positions (direct):
1 Pr 0.0000 0.4151 0.0000
2 Pr 0.4151 0.0000 0.0000
3 Pr 0.5849 0.5849 0.0000
4 Al 0.0000 0.7730 0.5000
5 Al 0.2270 0.2270 0.5000
6 Al 0.7730 0.0000 0.5000
7 Cu 0.0000 0.0000 0.0000
8 Cu 0.3333 0.6667 0.5000
9 Cu 0.6667 0.3333 0.5000

# 4
DFT (SCAN) results for a crystal of Mn4Si relaxed with PBEsol.

**Uncorrected formation energy**: 2.27 eV/f.u.

a = 5.3055 Å, b = 5.3055 Å, c = 5.3055 Å
α = 90.00°, β = 90.00°, γ = 90.00°
Positions (direct):
1 Mn 0.2500 0.2500 0.2500
2 Mn 0.2500 0.2500 0.7500
3 Mn 0.2500 0.7500 0.2500
4 Mn 0.2500 0.7500 0.7500
5 Mn 0.7500 0.2500 0.2500
6 Mn 0.7500 0.2500 0.7500
7 Mn 0.7500 0.7500 0.2500
8 Mn 0.7500 0.7500 0.7500
9 Si 0.0000 0.0000 0.0000
10 Si 0.5000 0.5000 0.5000

# 5
DFT (SCAN) results for a crystal of LaMgRh relaxed with PBEsol.

**Formation energy from the elements**: -0.47 eV/atom

a = 4.4848 Å, b = 4.4848 Å, c = 3.9276 Å
α = 90.00°, β = 90.00°, γ = 120.00°
Positions (direct):
1 La 0.0000 0.0000 0.0000
2 Mg 0.3333 0.6667 0.5000
3 Rh 0.6667 0.3333 0.5000

# 6
DFT (SCAN) results for a crystal of Fe3ReAg relaxed with PBEsol.

**Formation energy from the elements**: 2.07 eV/atom
**E above lowest polymorph**: 0.5186 eV per atom

a = 4.4352 Å, b = 4.4352 Å, c = 4.4352 Å
α = 90.00°, β = 90.00°, γ = 90.00°
Positions (direct):
1 Fe 0.0000 0.0000 0.5000
2 Fe 0.0000 0.5000 0.0000
3 Fe 0.5000 0.0000 0.0000
4 Re 0.5000 0.5000 0.5000
5 Ag 0.0000 0.0000 0.0000

# 7
DFT (SCAN) results for a crystal of MnPbSe relaxed with PBEsol.

**Uncorrected formation energy**: 0.94 eV/f.u.

a = 6.8698 Å, b = 6.8698 Å, c = 6.8698 Å
α = 90.00°, β = 90.00°, γ = 90.00°
Positions (direct):
1 Mn 0.0000 0.0000 0.0000
2 Mn 0.0000 0.5000 0.5000
3 Mn 0.5000 0.0000 0.5000
4 Mn 0.5000 0.5000 0.0000
5 Pb 0.2500 0.2500 0.7500
6 Pb 0.2500 0.7500 0.2500
7 Pb 0.7500 0.2500 0.2500
8 Pb 0.7500 0.7500 0.7500
9 Se 0.0000 0.0000 0.5000
10 Se 0.0000 0.5000 0.0000
11 Se 0.5000 0.0000 0.0000
12 Se 0.5000 0.5000 0.5000

# 8
DFT (SCAN) results for a crystal of Sc3TlW relaxed with PBEsol.

**Formation energy from the elements**: 1.26 eV/atom

a = 5.1775 Å, b = 5.1775 Å, c = 5.1775 Å
α = 90.00°, β = 90.00°, γ = 90.00°
Positions (direct):
1 Sc 0.0000 0.0000 0.5000
2 Sc 0.0000 0.5000 0.0000
3 Sc 0.5000 0.0000 0.0000
4 Tl 0.0000 0.0000 0.0000
5 W 0.5000 0.5000 0.5000

# 9
DFT (SCAN) results for a crystal of HgPdSe2N relaxed with PBEsol.

**Uncorrected formation energy**: 7.14 eV/f.u.

a = 5.2332 Å, b = 5.2332 Å, c = 3.9448 Å
α = 90.00°, β = 90.00°, γ = 90.00°
Positions (direct):
1 Hg 0.0000 0.0000 0.0000
2 Pd 0.5000 0.5000 0.5000
3 Se 0.0000 0.5000 0.0000
4 Se 0.5000 0.0000 0.0000
5 N 0.0000 0.0000 0.5000

# 10
DFT (SCAN) results for a crystal of TaBiP4O14 relaxed with PBEsol.

**Uncorrected formation energy**: -47.92 eV/f.u.

a = 8.6178 Å, b = 8.4534 Å, c = 8.4734 Å
α = 90.00°, β = 91.02°, γ = 90.00°
Positions (direct):
1 Ta 0.0000 0.0000 0.0000
2 Ta 0.0000 0.5000 0.5000
3 Bi 0.5000 0.0000 0.5000
4 Bi 0.5000 0.5000 0.0000
5 P 0.0897 0.1157 0.3867
6 P 0.0897 0.3843 0.8867
7 P 0.3725 0.5886 0.3982
8 P 0.3725 0.9114 0.8982
9 P 0.6275 0.0886 0.1018
10 P 0.6275 0.4114 0.6018
11 P 0.9103 0.6157 0.1133
12 P 0.9103 0.8843 0.6133
13 O 0.0000 0.0000 0.5000
14 O 0.0000 0.5000 0.0000
15 O 0.0264 0.2190 0.9248
16 O 0.0264 0.2810 0.4248
17 O 0.0330 0.0709 0.2194
18 O 0.0330 0.4291 0.7194
19 O 0.2196 0.5400 0.4818
20 O 0.2196 0.9600 0.9818
21 O 0.2613 0.1036 0.4092
22 O 0.2613 0.3964 0.9092
23 O 0.3699 0.5211 0.2338
24 O 0.3699 0.9789 0.7338
25 O 0.3985 0.7361 0.9115
26 O 0.3985 0.7639 0.4115
27 O 0.5000 0.0000 0.0000
28 O 0.5000 0.5000 0.5000
29 O 0.6015 0.2361 0.5885
30 O 0.6015 0.2639 0.0885
31 O 0.6301 0.0211 0.2662
32 O 0.6301 0.4789 0.7662
33 O 0.7387 0.6036 0.0908
34 O 0.7387 0.8964 0.5908
35 O 0.7804 0.0400 0.0182
36 O 0.7804 0.4600 0.5182
37 O 0.9670 0.5709 0.2806
38 O 0.9670 0.9291 0.7806
39 O 0.9736 0.7190 0.5752
40 O 0.9736 0.7810 0.0752